No. 1
# PBE CuSn3Se, optimized geometry
data_CuSn3Se
_cell_length_a 5.536
_cell_length_b 5.536
_cell_length_c 5.536
_cell_angle_alpha 90.00
_cell_angle_beta 90.00
_cell_angle_gamma 90.00
_symmetry_space_group_name_H-M 'P 1'
_symmetry_Int_Tables_number 1
loop_
_symmetry_equiv_pos_as_xyz
'x,y,z'
loop_
_atom_site_label
_atom_site_type_symbol
_atom_site_fract_x
_atom_site_fract_y
_atom_site_fract_z
Cu1 Cu 0.000 0.000 0.000
Sn1 Sn 0.000 0.500 0.500
Sn2 Sn 0.500 0.000 0.500
Sn3 Sn 0.500 0.500 0.000
Se1 Se 0.500 0.500 0.500
# * space-group type: No. 221
# * energy relative to the elements, uncorrected: 3.58 eV per formula unit
# * DFT total energy: -0.2353 Ry/atom
# * D(E_F): 3.60 states/eV/f.u.
# * volume: 169.7 Å³ per cell
# * distance to the lowest polymorph of the same formula: 0.553 eV/atom


No. 2
# PBE Cu3Sn3Se8, optimized geometry
data_Cu3Sn3Se8
_cell_length_a 7.753
_cell_length_b 7.753
_cell_length_c 7.753
_cell_angle_alpha 60.42
_cell_angle_beta 60.42
_cell_angle_gamma 60.42
_symmetry_space_group_name_H-M 'P 1'
_symmetry_Int_Tables_number 1
loop_
_symmetry_equiv_pos_as_xyz
'x,y,z'
loop_
_atom_site_label
_atom_site_type_symbol
_atom_site_fract_x
_atom_site_fract_y
_atom_site_fract_z
Cu1 Cu 0.000 0.000 0.000
Cu2 Cu 0.387 0.387 0.387
Cu3 Cu 0.613 0.613 0.613
Sn1 Sn 0.000 0.000 0.500
Sn2 Sn 0.000 0.500 0.000
Sn3 Sn 0.500 0.000 0.000
Se1 Se 0.236 0.762 0.762
Se2 Se 0.238 0.238 0.764
Se3 Se 0.238 0.764 0.238
Se4 Se 0.253 0.253 0.253
Se5 Se 0.747 0.747 0.747
Se6 Se 0.762 0.236 0.762
Se7 Se 0.762 0.762 0.236
Se8 Se 0.764 0.238 0.238
# * space-group type: No. 166
# * energy relative to the elements, uncorrected: -3.72 eV per formula unit
# * DFT total energy: -0.2934 Ry/atom
# * D(E_F): 7.78 states/eV/f.u.
# * volume: 332.7 Å³ per cell


The lowest DFT total energy belongs to which entry?
Cu3Sn3Se8


Which of these has the lowest DFT total energy?
Cu3Sn3Se8